# 1
First-principles (PBE) data for P2PbCl after structural relaxation, as listed in the Alexandria database.

Cell lengths 6.3136, 6.3136, 5.0205 Å; angles 81.05, 81.05, 30.87 degrees
With the nearest neighbours (Å) after each atom.
Fractional positions:
1 Cl 0.2500 0.2500 0.2500  4 Pb 3.02, 2 Cl 3.36
2 P 0.4811 0.4811 0.6235  2 P 2.20
3 P 0.0189 0.0189 0.8765  2 P 2.20
4 Pb 0.7500 0.7500 0.7500  4 Cl 3.02, 4 P 3.25, 2 Pb 3.36

Values from the calculation:
ΔE_f (raw) (eV/atom): -0.17
Size of the total moment (μB/cell): 0.00
SG: C2/m, No. 12

# 2
First-principles (PBE) data for HoMgZnOs after structural relaxation, as listed in the Alexandria database.

Cell lengths 4.7176, 4.7176, 4.7176 Å; angles 60.00, 60.00, 60.00 degrees
With the nearest neighbours (Å) after each atom.
Fractional positions:
1 Mg 0.2500 0.2500 0.2500  4 Os 2.89, 4 Zn 2.89
2 Zn 0.0000 0.0000 0.0000  4 Ho 2.89, 4 Mg 2.89
3 Ho 0.7500 0.7500 0.7500  4 Os 2.89, 4 Zn 2.89
4 Os 0.5000 0.5000 0.5000  4 Ho 2.89, 4 Mg 2.89

Values from the calculation:
Size of the total moment (μB/cell): 0.00
Formation energy (meV per atom): -36
SG: F-43m, No. 216